[1]
DFT (GGA-PBE) results for crystalline Li3TaRh4 at its relaxed geometry.

Calculated values
The formation energy is -0.34 eV/atom. Its density of states at the Fermi level is 3.81 states/eV per cell. Its total DFT energy (no corrections) is -6.2199 eV per atom.

Structure (CIF):
```
data_Li3TaRh4
_symmetry_space_group_name_H-M 'P 4/m m m'
_symmetry_Int_Tables_number 123
_symmetry_space_group_name_Hall '-P 4 2'
_cell_length_a 4.2409
_cell_length_b 4.2409
_cell_length_c 5.9837
_cell_angle_alpha 90.00
_cell_angle_beta 90.00
_cell_angle_gamma 90.00
loop_
_atom_site_label
_atom_site_type_symbol
_atom_site_fract_x
_atom_site_fract_y
_atom_site_fract_z
Li1 Li 0.0000 0.0000 0.0000
Li2 Li 0.0000 0.0000 0.5000
Li3 Li 0.5000 0.5000 0.0000
Ta1 Ta 0.5000 0.5000 0.5000
Rh1 Rh 0.0000 0.5000 0.2434
```


[2]
DFT (GGA-PBE) results for crystalline LiTa2Rh2 at its relaxed geometry.

Calculated values
The formation energy is -0.27 eV/atom. Its density of states at the Fermi level is 6.80 states/eV per cell. Its total DFT energy (no corrections) is -8.3322 eV per atom. Its energy above the most stable polymorph in this dataset is 0 meV per atom.

Structure (CIF):
```
data_LiTa2Rh2
_symmetry_space_group_name_H-M 'P 4/m b m'
_symmetry_Int_Tables_number 127
_symmetry_space_group_name_Hall '-P 4 2ab'
_cell_length_a 7.6900
_cell_length_b 7.6900
_cell_length_c 2.8881
_cell_angle_alpha 90.00
_cell_angle_beta 90.00
_cell_angle_gamma 90.00
loop_
_atom_site_label
_atom_site_type_symbol
_atom_site_fract_x
_atom_site_fract_y
_atom_site_fract_z
Li1 Li 0.0000 0.0000 0.0000
Ta1 Ta 0.1566 0.3434 0.5000
Rh1 Rh 0.1394 0.6394 0.0000
```


[3]
DFT (GGA-PBE) results for crystalline LiTa3Rh at its relaxed geometry.

Calculated values
The formation energy is 1.05 eV/atom. Its density of states at the Fermi level is 5.47 states/eV per cell. Its total DFT energy (no corrections) is -7.9159 eV per atom. Its energy above the most stable polymorph in this dataset is 0 meV per atom.

Structure (CIF):
```
data_LiTa3Rh
_symmetry_space_group_name_H-M 'P m -3 m'
_symmetry_Int_Tables_number 221
_symmetry_space_group_name_Hall '-P 4 2 3'
_cell_length_a 4.3485
_cell_length_b 4.3485
_cell_length_c 4.3485
_cell_angle_alpha 90.00
_cell_angle_beta 90.00
_cell_angle_gamma 90.00
loop_
_atom_site_label
_atom_site_type_symbol
_atom_site_fract_x
_atom_site_fract_y
_atom_site_fract_z
Li1 Li 0.0000 0.0000 0.0000
Ta1 Ta 0.0000 0.0000 0.5000
Rh1 Rh 0.5000 0.5000 0.5000
```